(1)
# CeErTm2Se4

A relaxed CeErTm2Se4 crystal (PBE, Alexandria).

- Space group: P2/m (10)

```
CeErTm2Se4
1.0
7.048 0.000 0.000
0.000 4.025 0.000
-2.295 0.000 6.711
Ce Er Tm Se
1 1 2 4
Cartesian
0.000 0.000 0.000
3.524 2.012 0.000
-1.148 2.012 3.356
2.377 0.000 3.356
0.084 0.000 4.987
1.234 2.012 1.758
3.519 2.012 4.954
4.669 0.000 1.724
```



(2)
# CeEr2Tm3Se6

A relaxed CeEr2Tm3Se6 crystal (PBE, Alexandria).

- Space group: C2/m (12)

```
CeEr2Tm3Se6
1.0
8.852 -2.013 0.000
8.852 2.013 0.000
-1.918 0.000 7.941
Ce Er Tm Se
1 2 3 6
Cartesian
0.000 0.000 0.000
4.671 0.000 5.343
11.115 0.000 2.598
-0.959 0.000 3.971
5.647 0.000 1.317
10.139 0.000 6.624
1.854 0.000 4.639
2.893 0.000 0.671
8.347 0.000 2.081
7.439 0.000 5.860
12.892 0.000 7.270
13.931 0.000 3.302
```



(3)
# Ce2ErTm3Se6

A relaxed Ce2ErTm3Se6 crystal (PBE, Alexandria).

- Space group: C2/m (12)

```
Ce2ErTm3Se6
1.0
8.937 -2.021 0.000
8.937 2.021 0.000
-2.053 0.000 7.996
Ce Er Tm Se
2 1 3 6
Cartesian
2.310 0.000 2.688
13.510 0.000 5.308
8.937 0.000 0.000
1.304 0.000 6.660
7.910 0.000 3.998
14.516 0.000 1.335
-1.467 0.000 6.006
4.065 0.000 7.423
5.205 0.000 3.253
10.616 0.000 4.742
11.756 0.000 0.573
17.287 0.000 1.989
```



(4)
# CeEr2TmSe6

A relaxed CeEr2TmSe6 crystal (PBE, Alexandria).

- Space group: R3 (146)

```
CeEr2TmSe6
1.0
3.615 2.087 6.469
-3.615 2.087 6.469
0.000 -4.175 6.469
Ce Er Tm Se
1 2 1 6
Cartesian
0.000 0.000 0.000
0.000 0.000 5.779
0.000 0.000 15.559
0.000 0.000 9.590
-2.146 -0.142 7.692
-1.375 -2.097 10.906
1.196 -1.788 7.692
-1.129 2.240 10.906
0.950 1.930 7.692
2.504 -0.142 10.906
```



(5)
# CeEr3Tm2Se6

A relaxed CeEr3Tm2Se6 crystal (PBE, Alexandria).

- Space group: C2/m (12)

```
CeEr3Tm2Se6
1.0
8.844 -2.017 0.000
8.844 2.017 0.000
-1.868 0.000 7.954
Ce Er Tm Se
1 3 2 6
Cartesian
0.000 0.000 0.000
-0.934 0.000 3.977
5.664 0.000 1.317
10.157 0.000 6.637
4.697 0.000 5.346
11.124 0.000 2.608
1.899 0.000 4.631
2.887 0.000 0.698
7.444 0.000 5.875
8.377 0.000 2.079
12.934 0.000 7.256
13.922 0.000 3.322
```



(6)
# Ce3ErTm3Se8

A relaxed Ce3ErTm3Se8 crystal (PBE, Alexandria).

- Space group: R-3m (166)

```
Ce3ErTm3Se8
1.0
4.069 2.349 6.806
-4.069 2.349 6.806
0.000 -4.698 6.806
Ce Er Tm Se
3 1 3 8
Cartesian
-2.034 -1.175 6.806
-2.034 1.175 13.613
0.000 2.349 6.806
0.000 0.000 10.210
-4.069 0.000 10.210
-2.034 1.175 3.403
2.034 1.175 3.403
-2.074 -1.198 11.828
0.000 0.000 4.990
0.000 -2.395 8.592
-2.074 1.198 8.592
2.074 -1.198 11.828
0.000 2.395 11.828
0.000 0.000 15.429
2.074 1.198 8.592
```



(7)
# Ce2YEr3Se6

A relaxed Ce2YEr3Se6 crystal (PBE, Alexandria).

- Space group: C2/m (12)

```
Ce2YEr3Se6
1.0
8.972 -2.033 0.000
8.972 2.033 0.000
-2.041 0.000 8.025
Ce Y Er Se
2 1 3 6
Cartesian
2.324 0.000 2.696
13.579 0.000 5.329
8.972 0.000 0.000
1.308 0.000 6.682
7.951 0.000 4.012
14.595 0.000 1.343
-1.467 0.000 6.009
4.084 0.000 7.436
5.222 0.000 3.273
10.681 0.000 4.752
11.819 0.000 0.589
17.370 0.000 2.016
```



(8)
# CeY3Er3Se8

A relaxed CeY3Er3Se8 crystal (PBE, Alexandria).

- Space group: R-3m (166)

```
CeY3Er3Se8
1.0
4.062 2.345 6.623
-4.062 2.345 6.623
0.000 -4.691 6.623
Ce Y Er Se
1 3 3 8
Cartesian
0.000 0.000 0.000
-4.062 0.000 9.935
-2.031 1.173 3.312
2.031 1.173 3.312
-2.031 -1.173 6.623
-2.031 1.173 13.246
0.000 2.345 6.623
0.000 0.000 4.997
0.000 -2.240 8.322
-1.940 1.120 8.322
-1.940 -1.120 11.547
1.940 1.120 8.322
1.940 -1.120 11.547
0.000 2.240 11.547
0.000 0.000 14.873
```



| no. | formation energy (no corrections) (eV per atom) | M_tot (μB/atom) | VASP energy (Ha/atom) |
| --- | --- | --- | --- |
| 1 | -1.71 | 0.123 | -0.21626 |
| 2 | -1.70 | 0.092 | -0.21378 |
| 3 | -1.73 | 0.185 | -0.21898 |
| 4 | -1.81 | 0.100 | -0.21517 |
| 5 | -1.71 | 0.090 | -0.21424 |
| 6 | -1.81 | 0.258 | -0.22260 |
| 7 | -1.76 | 0.188 | -0.22673 |
| 8 | -1.80 | 0.095 | -0.22985 |